Record 1
# NaLiHPd2 (GGA-PBE, optimized geometry)
# Energy relative to the lowest polymorph listed for this composition in eV/f.u.: 0.00
# Magnetization in Bohr magnetons per cell: 0.00
# Space group: No. 123
data_NaLiHPd2
_chemical_formula_sum 'Na1 Li1 H1 Pd2'
_space_group_name_H-M_alt 'P 1'
_space_group_IT_number 1
_space_group_name_Hall 'P 1'
_cell_length_a 4.003
_cell_length_b 4.003
_cell_length_c 4.192
_cell_angle_alpha 90.00
_cell_angle_beta 90.00
_cell_angle_gamma 90.00
loop_
_atom_site_label
_atom_site_fract_x
_atom_site_fract_y
_atom_site_fract_z
Na1 0.500 0.500 0.500
H1 0.000 0.000 0.000
Pd1 0.000 0.500 0.000
Pd2 0.500 0.000 0.000
Li1 0.000 0.000 0.500

=====

Record 2
# NbSn2W (GGA-PBE, optimized geometry)
# Energy relative to the lowest polymorph listed for this composition in eV/f.u.: 1.73
# Formation energy from the elements in eV per atom: 0.854
# Magnetization in Bohr magnetons per cell: 1.21
# Space group: No. 122
data_NbSn2W
_chemical_formula_sum 'Nb2 Sn4 W2'
_space_group_name_H-M_alt 'P 1'
_space_group_IT_number 1
_space_group_name_Hall 'P 1'
_cell_length_a 7.646
_cell_length_b 7.646
_cell_length_c 6.152
_cell_angle_alpha 51.58
_cell_angle_beta 51.58
_cell_angle_gamma 90.00
loop_
_atom_site_label
_atom_site_fract_x
_atom_site_fract_y
_atom_site_fract_z
Nb1 0.500 0.500 0.000
Nb2 0.250 0.750 0.500
Sn1 0.636 0.125 0.250
Sn2 0.114 0.625 0.250
Sn3 0.375 0.364 0.750
Sn4 0.875 0.886 0.750
W1 0.000 0.000 0.000
W2 0.750 0.250 0.500

=====

Record 3
# Li2GePd (GGA-PBE, optimized geometry)
# Formation energy from the elements in eV per atom: -0.444
# Magnetization in Bohr magnetons per cell: 0.00
# Space group: No. 123
data_Li2GePd
_chemical_formula_sum 'Li2 Ge1 Pd1'
_space_group_name_H-M_alt 'P 1'
_space_group_IT_number 1
_space_group_name_Hall 'P 1'
_cell_length_a 4.137
_cell_length_b 3.744
_cell_length_c 3.744
_cell_angle_alpha 90.00
_cell_angle_beta 90.00
_cell_angle_gamma 90.00
loop_
_atom_site_label
_atom_site_fract_x
_atom_site_fract_y
_atom_site_fract_z
Ge1 0.500 0.000 0.000
Pd1 0.500 0.500 0.500
Li1 0.000 0.000 0.500
Li2 0.000 0.500 0.000

=====

Record 4
# Dy4ScAg2 (GGA-PBE, optimized geometry)
# Formation energy from the elements in eV per atom: 0.087
# Magnetization in Bohr magnetons per cell: 0.00
# Space group: No. 166
data_Dy4ScAg2
_chemical_formula_sum 'Dy4 Sc1 Ag2'
_space_group_name_H-M_alt 'P 1'
_space_group_IT_number 1
_space_group_name_Hall 'P 1'
_cell_length_a 5.310
_cell_length_b 5.310
_cell_length_c 8.858
_cell_angle_alpha 72.56
_cell_angle_beta 72.56
_cell_angle_gamma 60.00
loop_
_atom_site_label
_atom_site_fract_x
_atom_site_fract_y
_atom_site_fract_z
Dy1 0.726 0.726 0.821
Dy2 0.871 0.871 0.386
Dy3 0.274 0.274 0.179
Dy4 0.129 0.129 0.614
Sc1 0.500 0.500 0.500
Ag1 0.608 0.608 0.175
Ag2 0.392 0.392 0.825

=====

Record 5
# Zr3GeH3 (GGA-PBE, optimized geometry)
# Energy relative to the lowest polymorph listed for this composition in eV/f.u.: 0.00
# Magnetization in Bohr magnetons per cell: 0.00
# Space group: No. 148
data_Zr3GeH3
_chemical_formula_sum 'Zr6 Ge2 H6'
_space_group_name_H-M_alt 'P 1'
_space_group_IT_number 1
_space_group_name_Hall 'P 1'
_cell_length_a 6.095
_cell_length_b 6.095
_cell_length_c 7.046
_cell_angle_alpha 64.37
_cell_angle_beta 64.37
_cell_angle_gamma 60.00
loop_
_atom_site_label
_atom_site_fract_x
_atom_site_fract_y
_atom_site_fract_z
Zr1 0.232 0.585 0.275
Zr2 0.908 0.232 0.275
Zr3 0.585 0.908 0.275
Zr4 0.415 0.092 0.725
Zr5 0.092 0.768 0.725
Zr6 0.768 0.415 0.725
Ge1 0.333 0.333 0.000
Ge2 0.667 0.667 0.000
H1 0.472 0.785 0.615
H2 0.785 0.129 0.615
H3 0.129 0.472 0.615
H4 0.871 0.528 0.385
H5 0.215 0.871 0.385
H6 0.528 0.215 0.385

=====

Record 6
# CaAs2SeBr (GGA-PBE, optimized geometry)
# Energy relative to the lowest polymorph listed for this composition in eV/f.u.: 0.00
# Magnetization in Bohr magnetons per cell: 0.00
# Uncorrected formation energy in meV/atom: 1
# Space group: No. 123
data_CaAs2SeBr
_chemical_formula_sum 'Ca1 As2 Se1 Br1'
_space_group_name_H-M_alt 'P 1'
_space_group_IT_number 1
_space_group_name_Hall 'P 1'
_cell_length_a 5.054
_cell_length_b 5.054
_cell_length_c 5.517
_cell_angle_alpha 90.00
_cell_angle_beta 90.00
_cell_angle_gamma 90.00
loop_
_atom_site_label
_atom_site_fract_x
_atom_site_fract_y
_atom_site_fract_z
As1 0.000 0.500 0.000
As2 0.500 0.000 0.000
Ca1 0.500 0.500 0.500
Se1 0.000 0.000 0.000
Br1 0.000 0.000 0.500